Entry from Alexandria via LeMat-Bulk: a relaxed PuThHg crystal (PBE-GGA).

abc: 5.2352 5.2352 3.3757
angles: 90.00 90.00 120.00
With the nearest neighbours (Å) after each atom.
Space group P3m1 (No. 156)
Unique sites:
Pu  0.0000  0.0000  0.0000  3 Hg 3.19, 3 Th 3.23, 2 Pu 3.38
Th  0.3333  0.6667  0.6660  3 Pu 3.23, 3 Hg 3.26, 2 Th 3.38
Hg  0.6667  0.3333  0.3003  3 Pu 3.19, 3 Th 3.26, 2 Hg 3.38

Calculated values
The energy above the most stable polymorph in this dataset comes out at 0.0949 eV/atom.